# 1
Material: AlMoCl2
Method: DFT, GGA-PBEsol
State: optimized geometry

Calculated values
* mass density: 4.43 Mg/m³
* spin magnetization: 0.02 μB/cell
* formation energy (no corrections): 0.2256 eV per atom

Unit cell a=2.9621 b=2.9621 c=8.2884 alpha=90.00 beta=90.00 gamma=90.00
Space group P4/mmm (No. 123)
Symmetry-distinct sites (fractional):
Al: 0.0000 0.0000 0.0000 x1
Mo: 0.0000 0.0000 0.5000 x1
Cl: 0.5000 0.5000 0.3211 x2



# 2
Material: AlMoCl2
Method: DFT, GGA-PBEsol
State: optimized geometry

Calculated values
* mass density: 4.78 Mg/m³
* spin magnetization: 3.43 μB/cell
* formation energy (no corrections): 0.2059 eV per atom

Unit cell a=5.7563 b=8.6201 c=3.1257 alpha=90.00 beta=119.69 gamma=90.00
Space group C2/m (No. 12)
Symmetry-distinct sites (fractional):
Al: 0.0000 0.0000 0.0000 x2
Mo: 0.0000 0.5000 0.0000 x2
Cl: 0.2500 0.2500 0.0000 x4



# 3
Material: AlMoCl3
Method: DFT, GGA-PBEsol
State: optimized geometry

Calculated values
* mass density: 3.43 Mg/m³
* spin magnetization: 5.25 μB/cell
* formation energy (no corrections): 0.1861 eV per atom

Unit cell a=4.8044 b=4.8044 c=4.8044 alpha=90.00 beta=90.00 gamma=90.00
Space group Pm-3m (No. 221)
Symmetry-distinct sites (fractional):
Al: 0.0000 0.0000 0.0000 x1
Mo: 0.5000 0.5000 0.5000 x1
Cl: 0.0000 0.0000 0.5000 x3



What did we get for energy? Answer: -4.74, -4.76, -4.19 eV per atom, in the order shown.